1.
First-principles (PBE-GGA) data for CsCu2Hg after structural relaxation, as listed in Alexandria via LeMat-Bulk.

Cell: 5.2215 5.2215 18.3291 Å, 90.00 90.00 90.00°
Space group I4_1/amd (No. 141, origin choice 2)
Symmetry-distinct sites (fractional):
1 Cs 0.0000 0.2500 0.3750 (multiplicity 4)
2 Cu 0.0000 0.0000 0.0000 (multiplicity 8)
3 Hg 0.0000 0.2500 0.8750 (multiplicity 4)

Properties
Fermi-level density of states in states/eV per atom: 0.56
Volume in A^3/atom: 31.2
Mass density in kg/m3: 6122
E_tot in eV per atom: -2.09
Total moment in Bohr magnetons per cell: 0.0

=====

2.
First-principles (PBE-GGA) data for Dy2AgSe3 after structural relaxation, as listed in Alexandria via LeMat-Bulk.

Cell: 5.6850 13.7465 4.0936 Å, 90.00 90.00 90.00°
Space group Cmmm (No. 65)
Symmetry-distinct sites (fractional):
1 Dy 0.0000 0.1447 0.0000 (multiplicity 4)
2 Ag 0.0000 0.5000 0.5000 (multiplicity 2)
3 Se 0.0000 0.0000 0.5000 (multiplicity 2)
4 Se 0.0000 0.3474 0.0000 (multiplicity 4)

Properties
Energy relative to the elements, uncorrected in eV per atom: -1.19
Fermi-level density of states in states/eV per atom: 0.17
Volume in A^3/atom: 26.7
Mass density in kg/m3: 6953
E_tot in eV per atom: -4.95
Total moment in Bohr magnetons per cell: 0.0

=====

3.
First-principles (PBE-GGA) data for CrCuNi2 after structural relaxation, as listed in Alexandria via LeMat-Bulk.

Cell: 2.4636 2.4636 7.3902 Å, 90.00 90.00 90.00°
Space group P4mm (No. 99)
Symmetry-distinct sites (fractional):
1 Cr 0.0000 0.0000 0.0000 (multiplicity 1)
2 Cu 0.5000 0.5000 0.2649 (multiplicity 1)
3 Ni 0.0000 0.0000 0.5138 (multiplicity 1)
4 Ni 0.5000 0.5000 0.7572 (multiplicity 1)

Properties
Fermi-level density of states in states/eV per atom: 1.17
Volume in A^3/atom: 11.2
Mass density in kg/m3: 8623
E_tot in eV per atom: -6.23
Total moment in Bohr magnetons per cell: 0.0

=====

4.
First-principles (PBE-GGA) data for Dy4TmSc5 after structural relaxation, as listed in Alexandria via LeMat-Bulk.

Cell: 10.1688 10.1688 5.5730 Å, 90.00 90.00 90.00°
Space group I4mm (No. 107)
Symmetry-distinct sites (fractional):
1 Dy 0.0000 0.3202 0.0000 (multiplicity 8)
2 Tm 0.0000 0.0000 0.7540 (multiplicity 2)
3 Sc 0.0000 0.0000 0.2356 (multiplicity 2)
4 Sc 0.1897 0.1897 0.4832 (multiplicity 8)

Properties
Fermi-level density of states in states/eV per atom: 1.43
Volume in A^3/atom: 28.8
Energy above the lowest structure with this stoichiometry in meV/atom: 0
Mass density in kg/m3: 6015
E_tot in eV per atom: -5.22
Total moment in Bohr magnetons per cell: 0.0

=====

5.
First-principles (PBE-GGA) data for LiFe4Tc after structural relaxation, as listed in Alexandria via LeMat-Bulk.

Cell: 6.6114 6.6114 6.6114 Å, 90.00 90.00 90.00°
Space group F-43m (No. 216)
Symmetry-distinct sites (fractional):
1 Li 0.0000 0.0000 0.0000 (multiplicity 4)
2 Fe 0.1249 0.1249 0.3751 (multiplicity 16)
3 Tc 0.2500 0.2500 0.7500 (multiplicity 4)

Properties
Fermi-level density of states in states/eV per atom: 0.97
Volume in A^3/atom: 12.0
Mass density in kg/m3: 7546
E_tot in eV per atom: -7.50
Total moment in Bohr magnetons per cell: 24.0

=====

6.
First-principles (PBE-GGA) data for Tb3Dy2Sb2 after structural relaxation, as listed in Alexandria via LeMat-Bulk.

Cell: 12.1946 4.2429 8.4859 Å, 90.00 108.71 90.00°
Space group C2/m (No. 12)
Symmetry-distinct sites (fractional):
1 Tb 0.0000 0.0000 0.0000 (multiplicity 2)
2 Tb 0.1254 0.0000 0.4457 (multiplicity 4)
3 Dy 0.1330 0.5000 0.7861 (multiplicity 4)
4 Sb 0.1754 0.5000 0.1929 (multiplicity 4)

Properties
Energy relative to the elements, uncorrected in eV per atom: -0.63
Fermi-level density of states in states/eV per atom: 1.07
Volume in A^3/atom: 29.7
Mass density in kg/m3: 8348
E_tot in eV per atom: -5.11
Total moment in Bohr magnetons per cell: 0.0

=====

7.
First-principles (PBE-GGA) data for Na2Ge4Pd3Rh after structural relaxation, as listed in Alexandria via LeMat-Bulk.

Cell: 4.1513 4.1513 10.7952 Å, 90.00 90.00 90.00°
Space group P-4m2 (No. 115)
Symmetry-distinct sites (fractional):
1 Na 0.0000 0.5000 0.2471 (multiplicity 2)
2 Ge 0.0000 0.0000 0.5000 (multiplicity 1)
3 Ge 0.0000 0.5000 0.8717 (multiplicity 2)
4 Ge 0.5000 0.5000 0.5000 (multiplicity 1)
5 Pd 0.0000 0.0000 0.0000 (multiplicity 1)
6 Pd 0.0000 0.5000 0.6402 (multiplicity 2)
7 Rh 0.5000 0.5000 0.0000 (multiplicity 1)

Properties
Fermi-level density of states in states/eV per atom: 0.43
Volume in A^3/atom: 18.6
Mass density in kg/m3: 6772
E_tot in eV per atom: -4.81
Total moment in Bohr magnetons per cell: 0.0

=====

8.
First-principles (PBE-GGA) data for CdInPd after structural relaxation, as listed in Alexandria via LeMat-Bulk.

Cell: 3.0282 4.6197 4.7947 Å, 90.00 90.00 90.00°
Space group Pmmm (No. 47)
Symmetry-distinct sites (fractional):
1 Cd 0.0000 0.0000 0.0000 (multiplicity 1)
2 In 0.0000 0.5000 0.5000 (multiplicity 1)
3 Pd 0.5000 0.0000 0.5000 (multiplicity 1)

Properties
Fermi-level density of states in states/eV per atom: 0.37
Volume in A^3/atom: 22.4
Mass density in kg/m3: 8260
E_tot in eV per atom: -3.27
Total moment in Bohr magnetons per cell: 0.0

=====

9.
First-principles (PBE-GGA) data for SnPtRhS2 after structural relaxation, as listed in Alexandria via LeMat-Bulk.

Cell: 4.8634 4.8634 4.9732 Å, 90.00 90.00 90.00°
Space group P4/mmm (No. 123)
Symmetry-distinct sites (fractional):
1 Sn 0.0000 0.0000 0.0000 (multiplicity 1)
2 Pt 0.5000 0.5000 0.5000 (multiplicity 1)
3 Rh 0.0000 0.0000 0.5000 (multiplicity 1)
4 S 0.0000 0.5000 0.0000 (multiplicity 2)

Properties
Energy relative to the elements, uncorrected in eV per atom: 1.27
Fermi-level density of states in states/eV per atom: 1.38
Volume in A^3/atom: 23.5
Mass density in kg/m3: 6788
E_tot in eV per atom: -3.86
Total moment in Bohr magnetons per cell: 1.2

=====

10.
First-principles (PBE-GGA) data for AsOs2Rh after structural relaxation, as listed in Alexandria via LeMat-Bulk.

Cell: 2.7666 4.7840 9.1943 Å, 90.00 90.00 90.00°
Space group Cmm2 (No. 35)
Symmetry-distinct sites (fractional):
1 As 0.0000 0.0000 0.0000 (multiplicity 2)
2 Os 0.0000 0.0000 0.4998 (multiplicity 2)
3 Os 0.0000 0.5000 0.2577 (multiplicity 2)
4 Rh 0.0000 0.5000 0.7551 (multiplicity 2)

Properties
Fermi-level density of states in states/eV per atom: 1.17
Volume in A^3/atom: 15.2
Mass density in kg/m3: 15236
E_tot in eV per atom: -8.07
Total moment in Bohr magnetons per cell: 1.5

=====

11.
First-principles (PBE-GGA) data for AcMgSb3 after structural relaxation, as listed in Alexandria via LeMat-Bulk.

Cell: 13.9196 6.2191 6.9431 Å, 90.00 90.00 90.00°
Space group Pbcm (No. 57)
Symmetry-distinct sites (fractional):
1 Ac 0.1873 0.0036 0.2500 (multiplicity 4)
2 Mg 0.4096 0.2500 0.0000 (multiplicity 4)
3 Sb 0.0003 0.2500 0.0000 (multiplicity 4)
4 Sb 0.2761 0.5121 0.2500 (multiplicity 4)
5 Sb 0.4243 0.6522 0.7500 (multiplicity 4)

Properties
Energy relative to the elements, uncorrected in eV per atom: -0.58
Fermi-level density of states in states/eV per atom: 0.33
Volume in A^3/atom: 30.1
Energy above the lowest structure with this stoichiometry in meV/atom: 0
Mass density in kg/m3: 6814
E_tot in eV per atom: -4.20
Total moment in Bohr magnetons per cell: 0.0

=====

12.
First-principles (PBE-GGA) data for Ac2PrNdY2 after structural relaxation, as listed in Alexandria via LeMat-Bulk.

Cell: 6.7710 19.0486 3.6118 Å, 90.00 90.00 90.00°
Space group Pnnm (No. 58)
Symmetry-distinct sites (fractional):
1 Ac 0.2146 0.1918 0.0000 (multiplicity 4)
2 Pr 0.0000 0.5000 0.0000 (multiplicity 2)
3 Nd 0.0000 0.0000 0.0000 (multiplicity 2)
4 Y 0.2135 0.3607 0.5000 (multiplicity 4)

Properties
Fermi-level density of states in states/eV per atom: 1.68
Volume in A^3/atom: 38.8
Mass density in kg/m3: 6537
E_tot in eV per atom: -4.84
Total moment in Bohr magnetons per cell: 0.0